No. 1
This record from the Alexandria database describes a relaxed structure of CeTm2Te3. The functional is PBE-GGA.

```
CeTm2Te3
1.0
-6.562 -2.167 6.899
-9.484 0.626 2.238
7.528 -1.968 -5.900
Ce Tm Te
1 2 3
Cartesian
0.000 0.000 0.000
-10.592 -1.017 6.031
-5.455 -0.524 3.106
-8.023 -0.771 4.569
-13.263 -1.274 7.553
-2.783 -0.267 1.585
```

Properties
- ΔE_f (raw) (eV per atom) = -1.23
- calculated volume (Å³ per cell) = 176.3
- uncorrected energy (eV per atom) = -5.285
- magnetization (μB per cell) = 1.269
- theoretical density (g cm⁻³) = 8.107

No. 2
This record from the Alexandria database describes a relaxed structure of Ce2TmTe3. The functional is PBE-GGA.

```
Ce2TmTe3
1.0
6.266 0.000 0.000
0.000 8.739 0.001
-3.133 -2.186 6.716
Ce Tm Te
4 2 6
Cartesian
3.132 4.369 2.304
3.134 -0.001 2.303
-0.001 6.553 4.415
0.001 2.184 4.414
6.261 6.554 0.001
0.005 2.185 0.000
3.137 2.185 0.000
3.129 6.554 0.001
0.001 -0.001 2.113
3.134 2.184 4.605
-0.001 4.369 2.113
3.132 6.553 4.605
```

Properties
- ΔE_f (raw) (eV per atom) = -1.30
- calculated volume (Å³ per cell) = 367.8
- uncorrected energy (eV per atom) = -5.598
- magnetization (μB per cell) = 4.886
- theoretical density (g cm⁻³) = 7.512

No. 3
This record from the Alexandria database describes a relaxed structure of CeTm5Te6. The functional is PBE-GGA.

```
CeTm5Te6
1.0
7.366 -0.115 -1.389
-3.980 6.199 -1.389
0.148 0.266 7.511
Tm Te Ce
5 6 1
Cartesian
5.651 1.014 2.366
3.617 1.972 -1.389
1.767 3.175 2.366
-0.231 4.113 -1.389
-2.117 5.337 2.366
2.867 0.557 1.225
4.571 3.620 3.508
1.003 1.803 4.918
2.531 4.547 -0.185
-1.037 2.730 1.225
0.667 5.793 3.508
0.000 0.000 0.000
```

Properties
- ΔE_f (raw) (eV per atom) = -1.20
- calculated volume (Å³ per cell) = 345.0
- uncorrected energy (eV per atom) = -5.133
- magnetization (μB per cell) = 1.177
- theoretical density (g cm⁻³) = 8.424

No. 4
This record from the Alexandria database describes a relaxed structure of CeTm6Te8. The functional is PBE-GGA.

```
CeTm6Te8
1.0
7.813 1.093 1.129
0.849 7.844 1.129
0.849 0.876 7.876
Ce Tm Te
1 6 8
Cartesian
0.000 0.000 0.000
5.368 4.254 7.723
4.084 7.542 5.744
7.411 5.602 4.500
4.143 5.559 2.411
5.428 2.271 4.390
2.100 4.211 5.634
6.746 6.960 7.187
2.766 2.853 2.947
5.873 7.896 3.268
7.709 3.069 6.218
2.827 5.964 7.997
3.639 1.917 6.866
1.803 6.744 3.916
6.684 3.849 2.137
```

Properties
- ΔE_f (raw) (eV per atom) = -1.11
- calculated volume (Å³ per cell) = 462.0
- uncorrected energy (eV per atom) = -4.974
- magnetization (μB per cell) = 1.941
- theoretical density (g cm⁻³) = 7.816

No. 5
This record from the Alexandria database describes a relaxed structure of Ce3TmTe6. The functional is PBE-GGA.

```
Ce3TmTe6
1.0
-3.423 -4.381 -4.936
-5.377 -2.451 5.905
-6.697 8.606 -2.526
Ce Tm Te
6 2 12
Cartesian
-11.607 1.830 0.603
-4.400 -3.416 0.484
-3.890 -0.057 -2.160
-5.138 0.360 2.786
-3.348 4.303 -1.263
-10.359 1.413 -4.343
-7.748 0.887 -0.779
0.000 0.000 0.000
-9.378 4.602 -4.585
-7.059 1.615 -3.621
-6.403 -1.785 -1.267
-9.094 3.559 -0.290
-8.438 0.159 2.064
-6.119 -2.829 3.027
-5.146 2.113 0.056
-2.743 -0.837 0.927
-5.901 5.683 -2.410
-9.596 -3.910 0.853
-12.753 2.611 -2.484
-10.351 -0.339 -1.613
```

Properties
- ΔE_f (raw) (eV per atom) = -1.31
- calculated volume (Å³ per cell) = 694.9
- uncorrected energy (eV per atom) = -5.425
- magnetization (μB per cell) = 6.006
- theoretical density (g cm⁻³) = 6.475

No. 6
This record from the Alexandria database describes a relaxed structure of CeTmTe2. The functional is PBE-GGA.

```
CeTmTe2
1.0
4.193 0.000 0.000
2.097 3.632 0.000
2.097 1.211 7.934
Ce Tm Te
1 1 2
Cartesian
6.290 3.632 7.863
4.193 2.421 4.036
2.097 1.211 5.862
2.097 1.211 2.073
```

Properties
- ΔE_f (raw) (eV per atom) = -1.25
- calculated volume (Å³ per cell) = 120.8
- uncorrected energy (eV per atom) = -5.419
- magnetization (μB per cell) = 1.225
- theoretical density (g cm⁻³) = 7.754

No. 7
This record from the Alexandria database describes a relaxed structure of CeTmTe. The functional is PBE-GGA.

```
CeTmTe
1.0
-2.435 2.997 -0.426
-3.027 -2.405 0.384
2.779 0.557 5.748
Tm Te Ce
1 1 1
Cartesian
0.030 0.536 3.602
-2.714 0.599 2.011
0.001 0.014 0.093
```

Properties
- ΔE_f (raw) (eV per atom) = -0.67
- calculated volume (Å³ per cell) = 87.4
- uncorrected energy (eV per atom) = -5.187
- magnetization (μB per cell) = 1.244
- theoretical density (g cm⁻³) = 8.297

No. 8
This record from the Alexandria database describes a relaxed structure of Ce2TmTe. The functional is PBE-GGA.

```
Ce2TmTe
1.0
-2.556 2.800 1.752
-3.302 -2.217 -1.274
0.120 -3.462 5.710
Tm Te Ce
1 1 2
Cartesian
-2.929 0.292 0.239
-2.869 -1.439 3.094
0.084 -2.415 3.984
0.036 -1.046 1.726
```

Properties
- ΔE_f (raw) (eV per atom) = -0.51
- calculated volume (Å³ per cell) = 116.5
- uncorrected energy (eV per atom) = -5.383
- magnetization (μB per cell) = 0.022
- theoretical density (g cm⁻³) = 8.223

No. 9
This record from the Alexandria database describes a relaxed structure of CeTm3Te4. The functional is PBE-GGA.

```
CeTm3Te4
1.0
7.489 0.077 0.000
-2.553 7.191 0.000
0.000 0.000 8.611
Tm Te Ce
6 8 2
Cartesian
5.617 0.058 3.160
1.872 0.019 5.451
4.341 3.654 5.384
4.341 3.654 1.083
0.596 3.615 3.227
0.596 3.615 7.528
-0.618 1.814 5.325
3.088 1.933 7.492
3.127 1.853 3.286
-0.657 1.894 1.119
5.593 5.374 7.492
1.809 5.416 5.325
1.849 5.336 1.119
5.554 5.455 3.286
5.617 0.058 7.573
1.872 0.019 1.038
```

Properties
- ΔE_f (raw) (eV per atom) = -1.22
- calculated volume (Å³ per cell) = 465.5
- uncorrected energy (eV per atom) = -5.213
- magnetization (μB per cell) = 2.657
- theoretical density (g cm⁻³) = 8.257

No. 10
This record from the Alexandria database describes a relaxed structure of Ce6TmTe8. The functional is PBE-GGA.

```
Ce6TmTe8
1.0
2.259 -0.352 8.649
5.184 -6.644 3.002
8.426 1.679 2.494
Ce Tm Te
6 1 8
Cartesian
6.805 -2.483 2.748
1.130 -0.176 4.325
3.722 -3.498 5.826
4.213 0.839 1.247
2.592 -3.322 1.501
5.343 0.663 5.572
0.000 0.000 0.000
11.902 -3.988 10.610
3.967 -1.329 3.537
5.056 -1.488 7.873
10.814 -3.829 6.273
8.184 -0.458 4.750
7.686 -4.859 9.396
9.330 -0.637 9.138
6.540 -4.681 5.008
```

Properties
- ΔE_f (raw) (eV per atom) = -1.37
- calculated volume (Å³ per cell) = 506.4
- uncorrected energy (eV per atom) = -5.718
- magnetization (μB per cell) = 7.356
- theoretical density (g cm⁻³) = 6.659

No. 11
This record from the Alexandria database describes a relaxed structure of Ce2TmTe. The functional is PBE-GGA.

```
Ce2TmTe
1.0
5.438 0.000 0.000
2.719 4.710 0.000
2.719 1.570 4.441
Tm Te Ce
1 1 2
Cartesian
5.438 3.140 2.220
0.000 0.000 0.000
2.719 1.570 1.112
8.157 4.710 3.329
```

Properties
- ΔE_f (raw) (eV per atom) = -0.22
- calculated volume (Å³ per cell) = 113.7
- uncorrected energy (eV per atom) = -5.089
- magnetization (μB per cell) = 2.057
- theoretical density (g cm⁻³) = 8.420

No. 12
This record from the Alexandria database describes a relaxed structure of CeTmTe2. The functional is PBE-GGA.

```
CeTmTe2
1.0
4.437 0.000 0.000
0.000 4.280 0.000
0.000 -2.140 12.672
Ce Tm Te
2 2 4
Cartesian
1.109 0.000 10.848
3.328 2.140 1.824
1.109 0.000 4.533
3.328 2.140 8.139
3.328 2.140 4.999
1.109 0.000 7.673
3.328 2.140 11.156
1.109 0.000 1.516
```

Properties
- ΔE_f (raw) (eV per atom) = -1.19
- calculated volume (Å³ per cell) = 240.7
- uncorrected energy (eV per atom) = -5.366
- magnetization (μB per cell) = 2.485
- theoretical density (g cm⁻³) = 7.786

No. 13
This record from the Alexandria database describes a relaxed structure of CeTmTe. The functional is PBE-GGA.

```
CeTmTe
1.0
3.984 -1.226 0.912
-2.844 5.104 -0.679
1.587 -1.758 10.667
Te Ce Tm
2 2 2
Cartesian
-0.407 3.238 1.138
3.134 -1.119 9.761
-1.110 3.296 4.287
3.836 -1.177 6.612
1.902 1.429 8.585
0.825 0.690 2.314
```

Properties
- ΔE_f (raw) (eV per atom) = -0.77
- calculated volume (Å³ per cell) = 173.4
- uncorrected energy (eV per atom) = -5.290
- magnetization (μB per cell) = 0.001
- theoretical density (g cm⁻³) = 8.363

No. 14
This record from the Alexandria database describes a relaxed structure of CeTmTe. The functional is PBE-GGA.

```
CeTmTe
1.0
-0.007 3.856 0.084
-3.490 -0.089 3.810
5.045 -0.015 1.117
Tm Te Ce
1 1 1
Cartesian
-0.001 0.644 0.014
2.199 0.601 2.028
-0.649 2.507 2.968
```

Properties
- ΔE_f (raw) (eV per atom) = -0.49
- calculated volume (Å³ per cell) = 89.2
- uncorrected energy (eV per atom) = -5.006
- magnetization (μB per cell) = 2.152
- theoretical density (g cm⁻³) = 8.130

No. 15
This record from the Alexandria database describes a relaxed structure of Ce4Y3TmTe8. The functional is PBE-GGA.

```
Ce4Y3TmTe8
1.0
-0.281 -4.934 -7.237
-5.136 -5.933 4.244
-2.492 8.393 -0.320
Ce Y Tm Te
4 3 1 8
Cartesian
-0.140 -2.467 -3.619
-1.386 1.729 -3.778
0.000 0.000 0.000
-1.246 4.197 -0.160
-2.708 -5.434 -1.496
-3.954 -1.237 -1.656
-3.814 1.230 1.962
-2.568 -2.966 2.122
-6.330 2.753 1.043
-5.073 -1.478 1.204
-2.673 1.459 -0.891
-6.471 0.266 -2.605
-1.437 -2.740 -0.708
-5.235 -3.933 -2.422
-2.835 -0.996 -4.517
-1.578 -5.227 -4.356
```

Properties
- ΔE_f (raw) (eV per atom) = -1.33
- calculated volume (Å³ per cell) = 488.7
- uncorrected energy (eV per atom) = -5.881
- magnetization (μB per cell) = 5.060
- theoretical density (g cm⁻³) = 6.853

No. 16
This record from the Alexandria database describes a relaxed structure of CeY3Tm2Te6. The functional is PBE-GGA.

```
CeY3Tm2Te6
1.0
-1.021 0.773 4.142
-5.407 -6.935 -0.038
8.773 -4.192 0.677
Ce Y Tm Te
1 3 2 6
Cartesian
-0.510 0.387 2.071
-3.214 -3.081 2.052
4.206 -3.345 3.930
-1.860 -7.008 0.850
1.417 -6.822 3.892
0.928 -3.531 0.888
0.502 -8.801 1.767
-0.848 -4.933 2.981
1.844 -1.552 3.013
-1.352 -1.818 0.006
3.697 -8.535 4.774
3.194 -5.420 1.799
```

Properties
- ΔE_f (raw) (eV per atom) = -1.28
- calculated volume (Å³ per cell) = 353.4
- uncorrected energy (eV per atom) = -5.704
- magnetization (μB per cell) = 1.321
- theoretical density (g cm⁻³) = 7.098

No. 17
This record from the Alexandria database describes a relaxed structure of Ce3YTm2Te6. The functional is PBE-GGA.

```
Ce3YTm2Te6
1.0
-2.104 6.126 3.868
1.907 -6.315 3.661
7.077 2.320 -2.274
Ce Y Tm Te
3 1 2 6
Cartesian
4.787 -3.113 2.558
2.093 5.244 2.697
3.440 1.065 2.627
0.000 0.000 0.000
0.572 -2.174 3.730
-0.769 1.985 3.799
4.579 3.725 3.964
1.509 0.403 5.044
2.301 -1.594 1.290
5.930 -0.467 3.894
5.371 1.728 0.210
0.949 2.598 1.360
```

Properties
- ΔE_f (raw) (eV per atom) = -1.31
- calculated volume (Å³ per cell) = 362.9
- uncorrected energy (eV per atom) = -5.646
- magnetization (μB per cell) = 3.608
- theoretical density (g cm⁻³) = 7.380

No. 18
This record from the Alexandria database describes a relaxed structure of Ce2UTe4. The functional is PBE-GGA.

```
Ce2UTe4
1.0
-4.720 4.720 4.710
4.720 -4.720 4.710
4.720 4.720 -4.710
Ce U Te
4 2 8
Cartesian
2.360 1.178 1.178
7.080 -1.178 1.178
3.542 -2.360 3.533
5.898 2.360 3.533
0.000 4.720 2.355
0.000 0.000 4.710
5.432 3.072 -2.781
-0.712 3.072 5.136
3.072 0.712 4.284
3.072 4.008 2.781
5.432 1.648 0.426
1.648 4.008 -0.426
1.648 0.712 7.492
-0.712 1.648 1.929
```

Properties
- ΔE_f (raw) (eV per atom) = -1.12
- calculated volume (Å³ per cell) = 419.7
- uncorrected energy (eV per atom) = -6.224
- magnetization (μB per cell) = 12.009
- theoretical density (g cm⁻³) = 8.139

No. 19
This record from the Alexandria database describes a relaxed structure of Ce2U2Te7. The functional is PBE-GGA.

```
Ce2U2Te7
1.0
-1.009 -3.556 2.247
5.067 -6.899 -4.479
8.509 -2.724 3.674
Ce U Te
2 2 7
Cartesian
9.245 -10.344 0.273
2.665 -3.631 -0.386
5.852 -5.946 -2.620
6.879 -5.867 2.131
1.967 -4.182 2.592
8.526 -8.292 3.198
7.972 -4.541 4.722
4.355 -6.369 0.203
7.497 -7.676 -0.454
11.351 -8.085 0.629
5.537 -3.073 1.787
```

Properties
- ΔE_f (raw) (eV per atom) = -0.96
- calculated volume (Å³ per cell) = 340.5
- uncorrected energy (eV per atom) = -6.089
- magnetization (μB per cell) = 3.414
- theoretical density (g cm⁻³) = 8.045

No. 20
This record from the Alexandria database describes a relaxed structure of CeUTe. The functional is PBE-GGA.

```
CeUTe
1.0
-3.951 1.204 -1.091
-0.916 -4.019 -1.121
-2.790 -1.667 8.261
Te Ce U
2 2 2
Cartesian
-2.627 -3.306 5.862
-2.596 0.231 1.293
-0.858 -2.249 0.625
-4.365 -0.826 6.530
-3.828 -2.241 3.025
-1.395 -0.834 4.130
```

Properties
- ΔE_f (raw) (eV per atom) = -0.54
- calculated volume (Å³ per cell) = 162.0
- uncorrected energy (eV per atom) = -7.323
- magnetization (μB per cell) = 7.055
- theoretical density (g cm⁻³) = 10.368